Entry 1:
Material: Ca3Al8Zn3
Method: DFT, PBE
State: relaxed

Properties
The crystal system is orthorhombic.

Cell: 4.4240 10.0690 12.5255 Å, 90.00 90.00 90.00°
Space group Immm (No. 71)
Unique sites:
Ca1 0.0000 0.0000 0.0000 (multiplicity 2)
Ca2 0.0000 0.0000 0.3037 (multiplicity 4)
Al1 0.0000 0.2822 0.1354 (multiplicity 8)
Al2 0.0000 0.3668 0.3437 (multiplicity 8)
Zn1 0.0000 0.1919 0.5000 (multiplicity 4)
Zn2 0.0000 0.5000 0.0000 (multiplicity 2)

***

Entry 2:
Material: Tm12Ni5Bi
Method: DFT, PBE
State: relaxed

Properties
The crystal system is orthorhombic.

Cell: 9.2449 9.4768 9.8099 Å, 90.00 90.00 90.00°
Space group Immm (No. 71)
Unique sites:
Tm1 0.0000 0.1938 0.2089 (multiplicity 8)
Tm2 0.1925 0.5000 0.1798 (multiplicity 8)
Tm3 0.2083 0.3205 0.5000 (multiplicity 8)
Ni1 0.0000 0.0000 0.0000 (multiplicity 2)
Ni2 0.0000 0.3649 0.0000 (multiplicity 4)
Ni3 0.0000 0.5000 0.3763 (multiplicity 4)
Bi1 0.0000 0.0000 0.5000 (multiplicity 2)

***

Computed values of total energy (unit: hartree per atom) for the preceding records, in sequence: -0.113, -0.191.
Computed values of formation energy (unit: eV per atom) for the preceding records, in sequence: -0.2224, -0.4047.